Record 1
## ZrMnTe2I (PBE-GGA)

Data for crystalline ZrMnTe2I at its relaxed geometry.

Calculated values
Offset from the most stable computed form in meV/atom: 0
Spin magnetization in Bohr magnetons per cell: 5.91

Cell lengths 5.6285, 5.6285, 5.7851 Å; angles 90.00, 90.00, 90.00 degrees
Sites, in units of the cell vectors:
1 I 0.0000 0.0000 0.5000
2 Mn 0.5000 0.5000 0.5000
3 Te 0.0000 0.5000 0.0000
4 Te 0.5000 0.0000 0.0000
5 Zr 0.0000 0.0000 0.0000

Record 2
## TiMn2I (PBE-GGA)

Data for crystalline TiMn2I at its relaxed geometry.

Calculated values
Offset from the most stable computed form in meV/atom: 61
Spin magnetization in Bohr magnetons per cell: 10.17

Cell lengths 3.9935, 3.9935, 9.7756 Å; angles 78.21, 78.21, 90.00 degrees
Sites, in units of the cell vectors:
1 I 0.0000 0.0000 0.0000
2 I 0.7500 0.2500 0.5000
3 Mn 0.6175 0.1250 0.2500
4 Mn 0.1325 0.6250 0.2500
5 Mn 0.3750 0.3825 0.7500
6 Mn 0.8750 0.8675 0.7500
7 Ti 0.5000 0.5000 0.0000
8 Ti 0.2500 0.7500 0.5000

Record 3
## TiMnI2 (PBE-GGA)

Data for crystalline TiMnI2 at its relaxed geometry.

Calculated values
Spin magnetization in Bohr magnetons per cell: 4.57

Cell lengths 4.9918, 4.9918, 4.9918 Å; angles 60.00, 60.00, 60.00 degrees
Sites, in units of the cell vectors:
1 I 0.2500 0.2500 0.2500
2 I 0.7500 0.7500 0.7500
3 Mn 0.5000 0.5000 0.5000
4 Ti 0.0000 0.0000 0.0000

Record 4
## TiMn2I (PBE-GGA)

Data for crystalline TiMn2I at its relaxed geometry.

Calculated values
Offset from the most stable computed form in meV/atom: 0
Spin magnetization in Bohr magnetons per cell: 0.00

Cell lengths 4.3365, 4.3365, 4.3365 Å; angles 60.00, 60.00, 60.00 degrees
Sites, in units of the cell vectors:
1 I 0.5000 0.5000 0.5000
2 Mn 0.2500 0.2500 0.2500
3 Mn 0.7500 0.7500 0.7500
4 Ti 0.0000 0.0000 0.0000

Record 5
## Ti2MnWI (PBE-GGA)

Data for crystalline Ti2MnWI at its relaxed geometry.

Calculated values
Spin magnetization in Bohr magnetons per cell: 1.13

Cell lengths 4.4837, 4.6630, 4.4837 Å; angles 90.00, 90.00, 90.00 degrees
Sites, in units of the cell vectors:
1 I 0.0000 0.5000 0.0000
2 Mn 0.0000 0.0000 0.0000
3 W 0.5000 0.5000 0.5000
4 Ti 0.0000 0.0000 0.5000
5 Ti 0.5000 0.0000 0.0000

Record 6
## MnTlI4 (PBE-GGA)

Data for crystalline MnTlI4 at its relaxed geometry.

Calculated values
Offset from the most stable computed form in meV/atom: 17
Spin magnetization in Bohr magnetons per cell: 8.00

Cell lengths 9.3787, 9.3776, 9.3724 Å; angles 77.73, 77.72, 125.11 degrees
Sites, in units of the cell vectors:
1 Mn 0.6250 0.8750 0.7500
2 Mn 0.3750 0.1250 0.2500
3 Tl 0.8750 0.6250 0.2500
4 Tl 0.1250 0.3750 0.7500
5 I 0.2700 0.6987 0.9287
6 I 0.6273 0.6987 0.5713
7 I 0.1987 0.1274 0.0713
8 I 0.7300 0.3013 0.0713
9 I 0.1986 0.7699 0.4287
10 I 0.8013 0.8726 0.9287
11 I 0.3727 0.3013 0.4287
12 I 0.8014 0.2300 0.5713

Record 7
## Mn2Tl2I7 (PBE-GGA)

Data for crystalline Mn2Tl2I7 at its relaxed geometry.

Calculated values
Offset from the most stable computed form in meV/atom: 0
Spin magnetization in Bohr magnetons per cell: 17.99

Cell lengths 6.7745, 9.1679, 17.0338 Å; angles 90.00, 90.00, 98.47 degrees
Sites, in units of the cell vectors:
1 Mn 0.8207 0.6442 0.8886
2 Mn 0.1793 0.3558 0.1114
3 Mn 0.8207 0.1442 0.6114
4 Mn 0.1793 0.8558 0.3886
5 Tl 0.6404 0.9529 0.1573
6 Tl 0.3596 0.5471 0.6573
7 Tl 0.3596 0.0471 0.8427
8 Tl 0.6404 0.4529 0.3427
9 I 0.0000 0.0000 0.5000
10 I 0.0000 0.5000 0.0000
11 I 0.2802 0.1154 0.0492
12 I 0.7198 0.3846 0.5492
13 I 0.7198 0.8846 0.9508
14 I 0.2802 0.6154 0.4508
15 I 0.0448 0.2435 0.7315
16 I 0.0448 0.7435 0.7685
17 I 0.9552 0.2565 0.2315
18 I 0.9552 0.7565 0.2685
19 I 0.5365 0.9430 0.6638
20 I 0.5365 0.4430 0.8362
21 I 0.4635 0.5570 0.1638
22 I 0.4635 0.0570 0.3362

Record 8
## MnTl2I (PBE-GGA)

Data for crystalline MnTl2I at its relaxed geometry.

Calculated values
Offset from the most stable computed form in meV/atom: 0
Spin magnetization in Bohr magnetons per cell: 8.00

Cell lengths 5.8221, 5.8221, 9.9615 Å; angles 73.01, 73.01, 90.00 degrees
Sites, in units of the cell vectors:
1 I 0.0000 0.0000 0.0000
2 I 0.7500 0.2500 0.5000
3 Tl 0.5174 0.1250 0.2500
4 Tl 0.2326 0.6250 0.2500
5 Tl 0.3750 0.4826 0.7500
6 Tl 0.8750 0.7674 0.7500
7 Mn 0.5000 0.5000 0.0000
8 Mn 0.2500 0.7500 0.5000

Record 9
## Mn2Tl3I8 (PBE-GGA)

Data for crystalline Mn2Tl3I8 at its relaxed geometry.

Calculated values
Spin magnetization in Bohr magnetons per cell: 8.98

Cell lengths 8.1165, 9.8529, 9.2188 Å; angles 122.30, 107.19, 90.00 degrees
Sites, in units of the cell vectors:
1 Mn 0.6342 0.6846 0.3692
2 Mn 0.3658 0.3154 0.6308
3 Tl 0.5000 0.0000 0.0000
4 Tl 0.0000 0.7199 0.0000
5 Tl 0.0000 0.2801 0.0000
6 I 0.7108 0.3511 0.7022
7 I 0.2892 0.6489 0.2978
8 I 0.7799 0.8693 0.7386
9 I 0.2201 0.1307 0.2614
10 I 0.7444 0.4050 0.2656
11 I 0.7444 0.8607 0.2656
12 I 0.2556 0.1393 0.7344
13 I 0.2556 0.5950 0.7344

Record 10
## MnTlI4 (PBE-GGA)

Data for crystalline MnTlI4 at its relaxed geometry.

Calculated values
Offset from the most stable computed form in meV/atom: 0
Spin magnetization in Bohr magnetons per cell: 7.93

Cell lengths 7.0214, 8.1756, 8.8355 Å; angles 100.45, 113.41, 90.00 degrees
Sites, in units of the cell vectors:
1 Mn 0.5000 0.5000 0.5000
2 Mn 0.0000 0.0000 0.5000
3 Tl 0.1689 0.7500 0.0000
4 Tl 0.8311 0.2500 0.0000
5 I 0.2389 0.1523 0.3808
6 I 0.1419 0.6523 0.3808
7 I 0.7051 0.9387 0.1920
8 I 0.4869 0.4387 0.1920
9 I 0.2949 0.0613 0.8079
10 I 0.5131 0.5613 0.8079
11 I 0.7611 0.8477 0.6192
12 I 0.8581 0.3477 0.6192

Record 11
## MnTl3I6 (PBE-GGA)

Data for crystalline MnTl3I6 at its relaxed geometry.

Calculated values
Offset from the most stable computed form in meV/atom: 8
Spin magnetization in Bohr magnetons per cell: 7.79

Cell lengths 8.6299, 10.6555, 10.6555 Å; angles 104.54, 90.00, 90.00 degrees
Sites, in units of the cell vectors:
1 Mn 0.0087 0.1764 0.8236
2 Mn 0.5087 0.8236 0.1764
3 Tl 0.4543 0.9055 0.7111
4 Tl 0.9543 0.7111 0.9055
5 Tl 0.5330 0.4146 0.5854
6 Tl 0.0330 0.5854 0.4146
7 Tl 0.9543 0.0945 0.2889
8 Tl 0.4543 0.2889 0.0945
9 I 0.2472 0.6418 0.6929
10 I 0.7472 0.6929 0.6418
11 I 0.0911 0.4024 0.9599
12 I 0.5911 0.9599 0.4024
13 I 0.1420 0.0370 0.9630
14 I 0.7167 0.2137 0.7863
15 I 0.2167 0.7863 0.2137
16 I 0.6420 0.9630 0.0370
17 I 0.0911 0.0401 0.5976
18 I 0.5911 0.5976 0.0401
19 I 0.2472 0.3071 0.3582
20 I 0.7472 0.3582 0.3071

Record 12
## MnTl4I8 (PBE-GGA)

Data for crystalline MnTl4I8 at its relaxed geometry.

Calculated values
Spin magnetization in Bohr magnetons per cell: 3.14

Cell lengths 8.9787, 9.2262, 9.2262 Å; angles 76.30, 60.88, 60.88 degrees
Sites, in units of the cell vectors:
1 Mn 0.0000 0.0000 0.0000
2 Tl 0.0000 0.5000 0.0000
3 Tl 0.5000 0.5000 0.0000
4 Tl 0.5000 0.0000 0.5000
5 Tl 0.0000 0.0000 0.5000
6 I 0.2316 0.7684 0.7684
7 I 0.7684 0.2316 0.2316
8 I 0.0000 0.7684 0.2316
9 I 0.0000 0.2316 0.7684
10 I 0.2443 0.2557 0.2557
11 I 0.7557 0.7443 0.7443
12 I 0.5000 0.2557 0.7443
13 I 0.5000 0.7443 0.2557

Record 13
## Mn2TlI5 (PBE-GGA)

Data for crystalline Mn2TlI5 at its relaxed geometry.

Calculated values
Spin magnetization in Bohr magnetons per cell: 20.00

Cell lengths 6.0863, 9.3864, 14.8198 Å; angles 90.00, 90.00, 108.92 degrees
Sites, in units of the cell vectors:
1 Mn 0.2176 0.4352 0.5953
2 Mn 0.7824 0.5648 0.4047
3 Mn 0.7824 0.5648 0.0953
4 Mn 0.2176 0.4352 0.9047
5 Tl 0.9310 0.8620 0.7500
6 Tl 0.0690 0.1380 0.2500
7 I 0.6906 0.3811 0.2500
8 I 0.3094 0.6189 0.7500
9 I 0.2631 0.5261 0.0821
10 I 0.7369 0.4739 0.9179
11 I 0.7369 0.4739 0.5821
12 I 0.2631 0.5261 0.4179
13 I 0.0705 0.1409 0.6032
14 I 0.9295 0.8591 0.3968
15 I 0.0705 0.1409 0.8968
16 I 0.9295 0.8591 0.1032

Record 14
## Mn3Tl6I14 (PBE-GGA)

Data for crystalline Mn3Tl6I14 at its relaxed geometry.

Calculated values
Spin magnetization in Bohr magnetons per cell: 12.99

Cell lengths 7.5299, 12.3796, 12.3796 Å; angles 120.00, 90.00, 90.00 degrees
Sites, in units of the cell vectors:
1 Mn 0.8485 0.0000 0.0000
2 Mn 0.3316 0.3333 0.6667
3 Mn 0.4776 0.6667 0.3333
4 Tl 0.2667 0.8062 0.0867
5 Tl 0.2667 0.9133 0.7195
6 Tl 0.2667 0.2805 0.1938
7 Tl 0.7367 0.5214 0.5705
8 Tl 0.7367 0.4295 0.9509
9 Tl 0.7367 0.0491 0.4786
10 I 0.9751 0.0709 0.2297
11 I 0.9751 0.7703 0.8412
12 I 0.9751 0.1588 0.9291
13 I 0.4690 0.2454 0.4358
14 I 0.4690 0.5642 0.8096
15 I 0.4690 0.1904 0.7546
16 I 0.4898 0.0000 0.0000
17 I 0.9756 0.3333 0.6667
18 I 0.6846 0.7462 0.2074
19 I 0.6846 0.7926 0.5389
20 I 0.6846 0.4611 0.2538
21 I 0.2745 0.5930 0.4647
22 I 0.2745 0.5353 0.1283
23 I 0.2745 0.8717 0.4070

Record 15
## MnTl4I6 (PBE-GGA)

Data for crystalline MnTl4I6 at its relaxed geometry.

Calculated values
Spin magnetization in Bohr magnetons per cell: 9.86

Cell lengths 8.7484, 8.9014, 16.7810 Å; angles 70.75, 74.89, 60.57 degrees
Sites, in units of the cell vectors:
1 Mn 0.6621 0.7838 0.4090
2 Mn 0.1450 0.2838 0.9090
3 Tl 0.3249 0.9917 0.6092
4 Tl 0.0743 0.4916 0.1092
5 Tl 0.8147 0.2960 0.4294
6 Tl 0.4599 0.7960 0.9294
7 Tl 0.9539 0.6380 0.6766
8 Tl 0.7315 0.1380 0.1766
9 Tl 0.6978 0.1899 0.8158
10 Tl 0.2964 0.6899 0.3158
11 I 0.4077 0.5557 0.1294
12 I 0.9073 0.0557 0.6294
13 I 0.4246 0.6667 0.5055
14 I 0.4032 0.1667 0.0055
15 I 0.5359 0.1326 0.3987
16 I 0.9327 0.6326 0.8987
17 I 0.9780 0.0764 0.9715
18 I 0.9741 0.5764 0.4715
19 I 0.0612 0.1275 0.2547
20 I 0.5565 0.6275 0.7547
21 I 0.3185 0.2279 0.7544
22 I 0.6993 0.7279 0.2544

Record 16
## MnTl3I (PBE-GGA)

Data for crystalline MnTl3I at its relaxed geometry.

Calculated values
Offset from the most stable computed form in meV/atom: 0
Spin magnetization in Bohr magnetons per cell: 2.96

Cell lengths 5.4100, 5.4100, 5.4100 Å; angles 90.00, 90.00, 90.00 degrees
Sites, in units of the cell vectors:
1 I 0.5000 0.5000 0.5000
2 Tl 0.0000 0.5000 0.0000
3 Tl 0.0000 0.0000 0.5000
4 Tl 0.5000 0.0000 0.0000
5 Mn 0.0000 0.0000 0.0000

Record 17
## Mn3Tl2I8 (PBE-GGA)

Data for crystalline Mn3Tl2I8 at its relaxed geometry.

Calculated values
Spin magnetization in Bohr magnetons per cell: 15.00

Cell lengths 7.4775, 8.5418, 9.5222 Å; angles 116.65, 105.10, 90.00 degrees
Sites, in units of the cell vectors:
1 Mn 0.5000 0.0000 0.0000
2 Mn 0.0000 0.2585 0.0000
3 Mn 0.0000 0.7415 0.0000
4 Tl 0.6678 0.7424 0.4847
5 Tl 0.3322 0.2576 0.5153
6 I 0.0583 0.3939 0.7879
7 I 0.9417 0.6061 0.2121
8 I 0.1030 0.9010 0.8020
9 I 0.8970 0.0990 0.1980
10 I 0.3920 0.8603 0.1955
11 I 0.3920 0.3352 0.1955
12 I 0.6080 0.6648 0.8046
13 I 0.6080 0.1397 0.8046

Record 18
## Mn5TlI12 (PBE-GGA)

Data for crystalline Mn5TlI12 at its relaxed geometry.

Calculated values
Spin magnetization in Bohr magnetons per cell: 13.89

Cell lengths 7.3480, 7.3574, 15.2468 Å; angles 89.87, 89.74, 60.04 degrees
Sites, in units of the cell vectors:
1 Mn 0.5000 0.0000 0.5000
2 Mn 0.1665 0.6669 0.5000
3 Mn 0.8335 0.3331 0.5000
4 Mn 0.6665 0.6670 0.0000
5 Mn 0.3335 0.3330 0.0000
6 Tl 0.0000 0.0000 0.0000
7 I 0.8349 0.0000 0.3941
8 I 0.1651 0.0000 0.6059
9 I 0.6061 0.0000 0.8856
10 I 0.3939 0.0000 0.1144
11 I 0.3952 0.6056 0.8860
12 I 0.9992 0.6056 0.1140
13 I 0.0008 0.3944 0.8860
14 I 0.6048 0.3944 0.1140
15 I 0.4992 0.3336 0.6056
16 I 0.8328 0.6664 0.6056
17 I 0.1672 0.3336 0.3944
18 I 0.5008 0.6664 0.3944

Record 19
## MnTl3I6 (PBE-GGA)

Data for crystalline MnTl3I6 at its relaxed geometry.

Calculated values
Offset from the most stable computed form in meV/atom: 0
Spin magnetization in Bohr magnetons per cell: 8.00

Cell lengths 9.2584, 9.2584, 9.2584 Å; angles 89.34, 89.34, 89.34 degrees
Sites, in units of the cell vectors:
1 Mn 0.0000 0.0000 0.0000
2 Mn 0.5000 0.5000 0.5000
3 Tl 0.4607 0.8603 0.8589
4 Tl 0.8603 0.8589 0.4607
5 Tl 0.1411 0.5393 0.1397
6 Tl 0.8589 0.4607 0.8603
7 Tl 0.1397 0.1411 0.5393
8 Tl 0.5393 0.1397 0.1411
9 I 0.2035 0.8995 0.2030
10 I 0.1005 0.7970 0.7965
11 I 0.5000 0.8016 0.4988
12 I 0.7970 0.7965 0.1005
13 I 0.4988 0.5000 0.8016
14 I 0.1984 0.5012 0.5000
15 I 0.8016 0.4988 0.5000
16 I 0.5012 0.5000 0.1984
17 I 0.2030 0.2035 0.8995
18 I 0.5000 0.1984 0.5012
19 I 0.8995 0.2030 0.2035
20 I 0.7965 0.1005 0.7970

Record 20
## MnTl2I5 (PBE-GGA)

Data for crystalline MnTl2I5 at its relaxed geometry.

Calculated values
Spin magnetization in Bohr magnetons per cell: 4.00

Cell lengths 8.0655, 7.9407, 7.9407 Å; angles 95.05, 62.19, 62.19 degrees
Sites, in units of the cell vectors:
1 Mn 0.9897 0.9941 0.9941
2 Tl 0.5303 0.7247 0.1715
3 Tl 0.5303 0.1715 0.7247
4 I 0.5512 0.2949 0.2949
5 I 0.0041 0.2512 0.7969
6 I 0.0041 0.7969 0.2511
7 I 0.4510 0.7745 0.7745
8 I 0.9392 0.7692 0.7692

| no. | formation energy from raw total energies (eV/atom) | electronic total energy (eV per atom) |
| --- | --- | --- |
| 1 | 0.127 | -4.983 |
| 2 | 0.676 | -6.270 |
| 3 | 0.386 | -4.655 |
| 4 | 0.616 | -6.330 |
| 5 | 1.308 | -6.585 |
| 6 | -0.383 | -3.339 |
| 7 | -0.431 | -3.515 |
| 8 | 0.397 | -3.467 |
| 9 | -0.477 | -3.388 |
| 10 | -0.400 | -3.356 |
| 11 | -0.489 | -3.046 |
| 12 | -0.386 | -2.773 |
| 13 | -0.400 | -3.957 |
| 14 | -0.512 | -3.268 |
| 15 | -0.580 | -3.119 |
| 16 | 0.135 | -3.429 |
| 17 | -0.477 | -3.911 |
| 18 | -0.416 | -4.128 |
| 19 | -0.497 | -3.054 |
| 20 | -0.476 | -3.183 |